[1]
Compound: BC
Source: Alexandria
Functional: PBE-GGA
Structure: optimized geometry

Geometry as CIF:
```
data_BC
_chemical_formula_sum 'B12 C12'
_cell_length_a 12.918
_cell_length_b 2.565
_cell_length_c 4.906
_cell_angle_alpha 90.00
_cell_angle_beta 101.45
_cell_angle_gamma 90.00
_space_group_name_H-M_alt 'C 1 2/m 1'
_space_group_IT_number 12
_space_group_name_Hall '-C 2y'
loop_
_atom_site_label
_atom_site_fract_x
_atom_site_fract_y
_atom_site_fract_z
B1 0.112 0.000 0.203
B2 0.116 0.000 0.658
B3 0.204 0.000 0.986
C1 0.030 0.500 0.146
C2 0.037 0.500 0.640
C3 0.217 0.000 0.482
```

Output
The value obtained for the formation energy is 0.831 eV/f.u. The value obtained for the density of states at the Fermi level is 2.11 states/eV/cell. The density is 2.9 g/cm3.

[2]
Compound: B7C5
Source: Alexandria
Functional: PBE-GGA
Structure: optimized geometry

Geometry as CIF:
```
data_B7C5
_chemical_formula_sum 'B7 C5'
_cell_length_a 4.511
_cell_length_b 2.701
_cell_length_c 6.937
_cell_angle_alpha 90.00
_cell_angle_beta 93.27
_cell_angle_gamma 90.00
_space_group_name_H-M_alt 'P 1 m 1'
_space_group_IT_number 6
_space_group_name_Hall 'P -2y'
loop_
_atom_site_label
_atom_site_fract_x
_atom_site_fract_y
_atom_site_fract_z
B1 0.000 0.000 0.000
B2 0.059 0.000 0.630
B3 0.322 0.000 0.372
B4 0.467 0.500 0.719
B5 0.699 0.000 0.245
B6 0.827 0.500 0.609
B7 0.900 0.500 0.371
C1 0.183 0.500 0.040
C2 0.218 0.500 0.265
C3 0.399 0.000 0.600
C4 0.490 0.500 0.951
C5 0.656 0.000 0.022
```

Output
The value obtained for the formation energy is 5.598 eV/f.u. The value obtained for the density of states at the Fermi level is 0.93 states/eV/cell. The density is 2.7 g/cm3.

[3]
Compound: BC
Source: Alexandria
Functional: PBE-GGA
Structure: optimized geometry

Geometry as CIF:
```
data_BC
_chemical_formula_sum 'B12 C12'
_cell_length_a 8.491
_cell_length_b 2.621
_cell_length_c 8.113
_cell_angle_alpha 90.00
_cell_angle_beta 116.27
_cell_angle_gamma 90.00
_space_group_name_H-M_alt 'C 1 2/m 1'
_space_group_IT_number 12
_space_group_name_Hall '-C 2y'
loop_
_atom_site_label
_atom_site_fract_x
_atom_site_fract_y
_atom_site_fract_z
B1 0.064 0.000 0.443
B2 0.110 0.000 0.975
B3 0.228 0.000 0.691
C1 0.062 0.500 0.848
C2 0.094 0.500 0.338
C3 0.234 0.500 0.827
```

Output
The value obtained for the formation energy is 0.789 eV/f.u. The value obtained for the density of states at the Fermi level is 2.22 states/eV/cell. The density is 2.8 g/cm3.

[4]
Compound: B3C2
Source: Alexandria
Functional: PBE-GGA
Structure: optimized geometry

Geometry as CIF:
```
data_B3C2
_chemical_formula_sum 'B3 C2'
_cell_length_a 2.695
_cell_length_b 2.773
_cell_length_c 5.311
_cell_angle_alpha 92.41
_cell_angle_beta 91.44
_cell_angle_gamma 90.06
_space_group_name_H-M_alt 'P 1'
_space_group_IT_number 1
_space_group_name_Hall 'P 1'
loop_
_atom_site_label
_atom_site_fract_x
_atom_site_fract_y
_atom_site_fract_z
B1 0.000 0.000 0.000
B2 0.076 0.486 0.419
B3 0.435 0.505 0.706
C1 0.027 0.974 0.289
C2 0.493 0.017 0.847
```

Output
The value obtained for the formation energy is 1.965 eV/f.u. The value obtained for the density of states at the Fermi level is 0.35 states/eV/cell. The density is 2.4 g/cm3.

[5]
Compound: BC
Source: Alexandria
Functional: PBE-GGA
Structure: optimized geometry

Geometry as CIF:
```
data_BC
_chemical_formula_sum 'B12 C12'
_cell_length_a 12.367
_cell_length_b 2.656
_cell_length_c 4.808
_cell_angle_alpha 90.00
_cell_angle_beta 97.27
_cell_angle_gamma 90.00
_space_group_name_H-M_alt 'C 1 2/m 1'
_space_group_IT_number 12
_space_group_name_Hall '-C 2y'
loop_
_atom_site_label
_atom_site_fract_x
_atom_site_fract_y
_atom_site_fract_z
B1 0.027 0.000 0.324
B2 0.166 0.000 0.137
B3 0.173 0.000 0.496
C1 0.023 0.500 0.857
C2 0.144 0.500 0.939
C3 0.203 0.500 0.682
```

Output
The value obtained for the formation energy is 0.679 eV/f.u. The value obtained for the density of states at the Fermi level is 4.50 states/eV/cell. The density is 2.9 g/cm3.

[6]
Compound: BC
Source: Alexandria
Functional: PBE-GGA
Structure: optimized geometry

Geometry as CIF:
```
data_BC
_chemical_formula_sum 'B6 C6'
_cell_length_a 2.6535
_cell_length_b 2.6535
_cell_length_c 16.1339
_cell_angle_alpha 90.00
_cell_angle_beta 90.00
_cell_angle_gamma 120.00
_space_group_name_H-M_alt 'P 3 m 1'
_space_group_IT_number 156
_space_group_name_Hall 'P 3 -2"'
loop_
_atom_site_label
_atom_site_fract_x
_atom_site_fract_y
_atom_site_fract_z
B1 0.0000 0.0000 0.0000
B2 0.0000 0.0000 0.1049
B3 0.0000 0.0000 0.3875
B4 0.0000 0.0000 0.5907
B5 0.3333 0.6667 0.8273
B6 0.6667 0.3333 0.9319
C1 0.3333 0.6667 0.1472
C2 0.3333 0.6667 0.2397
C3 0.3333 0.6667 0.5905
C4 0.6667 0.3333 0.2735
C5 0.6667 0.3333 0.3731
C6 0.6667 0.3333 0.8354
```

Output
The value obtained for the formation energy is 0.825 eV/f.u. The value obtained for the density of states at the Fermi level is 1.28 states/eV/cell. The density is 2.3 g/cm3.

[7]
Compound: B3C
Source: Alexandria
Functional: PBE-GGA
Structure: optimized geometry

Geometry as CIF:
```
data_B3C
_chemical_formula_sum 'B9 C3'
_cell_length_a 2.622
_cell_length_b 6.526
_cell_length_c 4.792
_cell_angle_alpha 90.00
_cell_angle_beta 90.00
_cell_angle_gamma 90.00
_space_group_name_H-M_alt 'P m m 2'
_space_group_IT_number 25
_space_group_name_Hall 'P 2 -2'
loop_
_atom_site_label
_atom_site_fract_x
_atom_site_fract_y
_atom_site_fract_z
B1 0.000 0.000 0.000
B2 0.000 0.150 0.686
B3 0.000 0.500 0.700
B4 0.500 0.169 0.428
B5 0.500 0.338 0.116
B6 0.500 0.500 0.420
C1 0.000 0.312 0.933
C2 0.500 0.000 0.182
```

Output
The value obtained for the formation energy is 1.469 eV/f.u. The value obtained for the density of states at the Fermi level is 1.07 states/eV/cell. The density is 2.7 g/cm3.

[8]
Compound: B3C
Source: Alexandria
Functional: PBE-GGA
Structure: optimized geometry

Geometry as CIF:
```
data_B3C
_chemical_formula_sum 'B18 C6'
_cell_length_a 12.428
_cell_length_b 2.747
_cell_length_c 5.692
_cell_angle_alpha 90.00
_cell_angle_beta 115.66
_cell_angle_gamma 90.00
_space_group_name_H-M_alt 'C 1 m 1'
_space_group_IT_number 8
_space_group_name_Hall 'C -2y'
loop_
_atom_site_label
_atom_site_fract_x
_atom_site_fract_y
_atom_site_fract_z
B1 0.000 0.000 0.000
B2 0.002 0.000 0.306
B3 0.013 0.500 0.518
B4 0.121 0.000 0.584
B5 0.166 0.500 0.789
B6 0.178 0.500 0.206
B7 0.285 0.500 0.082
B8 0.341 0.500 0.445
B9 0.386 0.000 0.080
C1 0.130 0.000 0.269
C2 0.394 0.000 0.581
C3 0.445 0.000 0.872
```

Output
The value obtained for the formation energy is 1.594 eV/f.u. The value obtained for the density of states at the Fermi level is 2.70 states/eV/cell. The density is 2.5 g/cm3.

[9]
Compound: B7C5
Source: Alexandria
Functional: PBE-GGA
Structure: optimized geometry

Geometry as CIF:
```
data_B7C5
_chemical_formula_sum 'B7 C5'
_cell_length_a 2.5397
_cell_length_b 2.5397
_cell_length_c 14.5979
_cell_angle_alpha 90.00
_cell_angle_beta 90.00
_cell_angle_gamma 120.00
_space_group_name_H-M_alt 'P 3 m 1'
_space_group_IT_number 156
_space_group_name_Hall 'P 3 -2"'
loop_
_atom_site_label
_atom_site_fract_x
_atom_site_fract_y
_atom_site_fract_z
B1 0.0000 0.0000 0.0000
B2 0.0000 0.0000 0.1165
B3 0.0000 0.0000 0.5983
B4 0.3333 0.6667 0.2719
B5 0.3333 0.6667 0.6705
B6 0.6667 0.3333 0.3452
B7 0.6667 0.3333 0.9234
C1 0.0000 0.0000 0.4900
C2 0.3333 0.6667 0.1671
C3 0.3333 0.6667 0.7788
C4 0.6667 0.3333 0.4536
C5 0.6667 0.3333 0.8152
```

Output
The value obtained for the formation energy is 5.324 eV/f.u. The value obtained for the density of states at the Fermi level is 1.76 states/eV/cell. The density is 2.8 g/cm3.

[10]
Compound: BC
Source: Alexandria
Functional: PBE-GGA
Structure: optimized geometry

Geometry as CIF:
```
data_BC
_chemical_formula_sum 'B6 C6'
_cell_length_a 3.996
_cell_length_b 2.598
_cell_length_c 8.190
_cell_angle_alpha 90.00
_cell_angle_beta 90.93
_cell_angle_gamma 90.00
_space_group_name_H-M_alt 'P 1 m 1'
_space_group_IT_number 6
_space_group_name_Hall 'P -2y'
loop_
_atom_site_label
_atom_site_fract_x
_atom_site_fract_y
_atom_site_fract_z
B1 0.000 0.000 0.000
B2 0.012 0.000 0.289
B3 0.332 0.000 0.540
B4 0.443 0.500 0.871
B5 0.732 0.500 0.335
B6 0.833 0.500 0.622
C1 0.030 0.000 0.671
C2 0.238 0.000 0.828
C3 0.284 0.000 0.163
C4 0.501 0.500 0.156
C5 0.523 0.500 0.501
C6 0.727 0.500 0.003
```

Output
The value obtained for the formation energy is 0.637 eV/f.u. The value obtained for the density of states at the Fermi level is 1.93 states/eV/cell. The density is 2.7 g/cm3.

[11]
Compound: BC
Source: Alexandria
Functional: PBE-GGA
Structure: optimized geometry

Geometry as CIF:
```
data_BC
_chemical_formula_sum 'B6 C6'
_cell_length_a 4.503
_cell_length_b 2.495
_cell_length_c 7.083
_cell_angle_alpha 90.00
_cell_angle_beta 90.78
_cell_angle_gamma 90.00
_space_group_name_H-M_alt 'P 1 m 1'
_space_group_IT_number 6
_space_group_name_Hall 'P -2y'
loop_
_atom_site_label
_atom_site_fract_x
_atom_site_fract_y
_atom_site_fract_z
B1 0.000 0.000 0.000
B2 0.028 0.000 0.233
B3 0.212 0.500 0.878
B4 0.391 0.000 0.360
B5 0.516 0.500 0.201
B6 0.834 0.500 0.375
C1 0.197 0.500 0.656
C2 0.364 0.000 0.584
C3 0.542 0.500 0.978
C4 0.678 0.000 0.893
C5 0.691 0.000 0.675
C6 0.853 0.500 0.598
```

Output
The value obtained for the formation energy is 0.849 eV/f.u. The value obtained for the density of states at the Fermi level is 0.88 states/eV/cell. The density is 2.9 g/cm3.

[12]
Compound: B3C7
Source: Alexandria
Functional: PBE-GGA
Structure: optimized geometry

Geometry as CIF:
```
data_B3C7
_chemical_formula_sum 'B6 C14'
_cell_length_a 13.148
_cell_length_b 2.577
_cell_length_c 3.918
_cell_angle_alpha 90.00
_cell_angle_beta 106.62
_cell_angle_gamma 90.00
_space_group_name_H-M_alt 'C 1 m 1'
_space_group_IT_number 8
_space_group_name_Hall 'C -2y'
loop_
_atom_site_label
_atom_site_fract_x
_atom_site_fract_y
_atom_site_fract_z
B1 0.000 0.000 0.000
B2 0.130 0.000 0.462
B3 0.308 0.000 0.608
C1 0.011 0.500 0.774
C2 0.112 0.500 0.670
C3 0.204 0.000 0.222
C4 0.210 0.500 0.012
C5 0.311 0.500 0.882
C6 0.411 0.000 0.440
C7 0.411 0.500 0.212
```

Output
The value obtained for the formation energy is 2.938 eV/f.u. The value obtained for the density of states at the Fermi level is 3.03 states/eV/cell. The density is 3.0 g/cm3.

Copy entry 12 word for word.
Compound: B3C7
Source: Alexandria
Functional: PBE-GGA
Structure: optimized geometry

Geometry as CIF:
```
data_B3C7
_chemical_formula_sum 'B6 C14'
_cell_length_a 13.148
_cell_length_b 2.577
_cell_length_c 3.918
_cell_angle_alpha 90.00
_cell_angle_beta 106.62
_cell_angle_gamma 90.00
_space_group_name_H-M_alt 'C 1 m 1'
_space_group_IT_number 8
_space_group_name_Hall 'C -2y'
loop_
_atom_site_label
_atom_site_fract_x
_atom_site_fract_y
_atom_site_fract_z
B1 0.000 0.000 0.000
B2 0.130 0.000 0.462
B3 0.308 0.000 0.608
C1 0.011 0.500 0.774
C2 0.112 0.500 0.670
C3 0.204 0.000 0.222
C4 0.210 0.500 0.012
C5 0.311 0.500 0.882
C6 0.411 0.000 0.440
C7 0.411 0.500 0.212
```

Output
The value obtained for the formation energy is 2.938 eV/f.u. The value obtained for the density of states at the Fermi level is 3.03 states/eV/cell. The density is 3.0 g/cm3.

> Among the records above, which one has the highest density?

B3C7

> Among the records above, which one has the lowest density?

number 6